Material: PrTm2Ni9
Method: DFT, PBE
State: relaxed

Calculated values
- density (Mg/m³) = 9.69
- volume (Å³ per atom) = 14.4
- electronic total energy (eV per atom) = -5.73
- ΔH_f (0 K) (meV per atom) = -407
- symmetry = R-3m, No. 166

Geometry as POSCAR:
```
PrTm2Ni9
1.0
-0.129 8.293 2.051
4.246 6.488 3.587
3.582 7.663 -1.202
Ni Pr Tm
9 1 2
Direct
0.585 0.585 0.082 Ni
0.333 0.333 0.333 Ni
0.918 0.415 0.415 Ni
0.415 0.918 0.415 Ni
0.500 0.500 0.500 Ni
0.585 0.082 0.585 Ni
0.082 0.585 0.585 Ni
0.667 0.667 0.667 Ni
0.415 0.415 0.918 Ni
0.000 0.000 0.000 Pr
0.140 0.140 0.140 Tm
0.860 0.860 0.860 Tm
```